A plane-wave DFT calculation with GGA-PBE was carried out for an optimized crystal structure of K2SmH6.

```
data_K2SmH6
_chemical_formula_sum 'K8 Sm4 H24'
_symmetry_space_group_name_H-M 'F m -3 m'
_symmetry_Int_Tables_number 225
_symmetry_space_group_name_Hall '-F 4 2 3'
_cell_length_a 8.813
_cell_length_b 8.813
_cell_length_c 8.813
_cell_angle_alpha 90.00
_cell_angle_beta 90.00
_cell_angle_gamma 90.00
loop_
_atom_site_label
_atom_site_type_symbol
_atom_site_fract_x
_atom_site_fract_y
_atom_site_fract_z
_atom_site_occupancy
K1 K 0.250 0.250 0.250 1
Sm1 Sm 0.000 0.000 0.000 1
H1 H 0.000 0.000 0.250 1
```

Values from the calculation:
final energy = -2.832 eV per atom
crystal system = cubic
calculated density = 2.28 g/cm³